# KZnGe2P (GGA-PBE, relaxed)
data_KZnGe2P
_cell_length_a 5.631
_cell_length_b 5.631
_cell_length_c 5.378
_cell_angle_alpha 90.00
_cell_angle_beta 90.00
_cell_angle_gamma 90.00
_space_group_name_H-M_alt 'P 4/m m m'
_space_group_IT_number 123
_space_group_name_Hall '-P 4 2'
loop_
_atom_site_label
_atom_site_type_symbol
_atom_site_fract_x
_atom_site_fract_y
_atom_site_fract_z
K1 K 0.000 0.000 0.000
Zn1 Zn 0.500 0.500 0.500
Ge1 Ge 0.000 0.500 0.000
P1 P 0.000 0.000 0.500
# ρ in g cm⁻³: 2.7
# Energy of formation in eV per atom: 1.664
# Magnetization in Bohr magnetons per cell: 0.00

***

# Co2CuHg (GGA-PBE, relaxed)
data_Co2CuHg
_cell_length_a 3.717
_cell_length_b 3.717
_cell_length_c 4.005
_cell_angle_alpha 90.00
_cell_angle_beta 90.00
_cell_angle_gamma 90.00
_space_group_name_H-M_alt 'P 4/m m m'
_space_group_IT_number 123
_space_group_name_Hall '-P 4 2'
loop_
_atom_site_label
_atom_site_type_symbol
_atom_site_fract_x
_atom_site_fract_y
_atom_site_fract_z
Co1 Co 0.000 0.500 0.000
Cu1 Cu 0.000 0.000 0.500
Hg1 Hg 0.500 0.500 0.500
# ρ in g cm⁻³: 11.5
# Energy of formation in eV per atom: 0.395
# Magnetization in Bohr magnetons per cell: 3.28